Density functional theory data (GGA-PBE) for a relaxed structure of LiTmHfNi.

## Properties
magnetic moment = 0.000 μB/atom
formation energy = -0.041 eV/atom

a = 6.644 Å, b = 6.644 Å, c = 6.644 Å
α = 90.00°, β = 90.00°, γ = 90.00°
Element x y z (fractional)
1 Li 0.000 0.000 0.000
2 Li 0.000 0.500 0.500
3 Li 0.500 0.000 0.500
4 Li 0.500 0.500 0.000
5 Tm 0.250 0.250 0.250
6 Tm 0.250 0.750 0.750
7 Tm 0.750 0.250 0.750
8 Tm 0.750 0.750 0.250
9 Hf 0.250 0.250 0.750
10 Hf 0.250 0.750 0.250
11 Hf 0.750 0.250 0.250
12 Hf 0.750 0.750 0.750
13 Ni 0.000 0.000 0.500
14 Ni 0.000 0.500 0.000
15 Ni 0.500 0.000 0.000
16 Ni 0.500 0.500 0.500



Density functional theory data (GGA-PBE) for a relaxed structure of LiHfZnNi.

## Properties
magnetic moment = 0.003 μB/atom
formation energy = -0.202 eV/atom

a = 6.119 Å, b = 6.119 Å, c = 6.119 Å
α = 90.00°, β = 90.00°, γ = 90.00°
Element x y z (fractional)
1 Li 0.000 0.000 0.000
2 Li 0.000 0.500 0.500
3 Li 0.500 0.000 0.500
4 Li 0.500 0.500 0.000
5 Hf 0.250 0.250 0.750
6 Hf 0.250 0.750 0.250
7 Hf 0.750 0.250 0.250
8 Hf 0.750 0.750 0.750
9 Zn 0.250 0.250 0.250
10 Zn 0.250 0.750 0.750
11 Zn 0.750 0.250 0.750
12 Zn 0.750 0.750 0.250
13 Ni 0.000 0.000 0.500
14 Ni 0.000 0.500 0.000
15 Ni 0.500 0.000 0.000
16 Ni 0.500 0.500 0.500



Density functional theory data (GGA-PBE) for a relaxed structure of Li2HfNpO6.

## Properties
magnetic moment = 0.100 μB/atom
formation energy without anion corrections = -2.80 eV per atom

a = 5.383 Å, b = 5.692 Å, c = 9.558 Å
α = 90.00°, β = 124.28°, γ = 90.00°
Element x y z (fractional)
1 Li 0.246 0.027 0.250
2 Li 0.246 0.473 0.750
3 Li 0.754 0.527 0.250
4 Li 0.754 0.973 0.750
5 Hf 0.500 0.000 0.000
6 Hf 0.500 0.500 0.500
7 Np 0.000 0.000 0.500
8 Np 0.000 0.500 0.000
9 O 0.126 0.529 0.250
10 O 0.126 0.971 0.750
11 O 0.242 0.190 0.061
12 O 0.242 0.310 0.561
13 O 0.379 0.689 0.062
14 O 0.379 0.811 0.562
15 O 0.621 0.189 0.438
16 O 0.621 0.311 0.938
17 O 0.758 0.690 0.439
18 O 0.758 0.810 0.939
19 O 0.874 0.029 0.250
20 O 0.874 0.471 0.750



Density functional theory data (GGA-PBE) for a relaxed structure of LiHfNp2S4.

## Properties
magnetic moment = 0.013 μB/atom
formation energy without anion corrections = -1.35 eV per atom

a = 6.450 Å, b = 3.802 Å, c = 6.657 Å
α = 90.00°, β = 110.01°, γ = 90.00°
Element x y z (fractional)
1 Li 0.000 0.000 0.000
2 Hf 0.000 0.500 0.500
3 Np 0.500 0.000 0.500
4 Np 0.500 0.500 0.000
5 S 0.228 0.500 0.245
6 S 0.231 0.000 0.746
7 S 0.769 0.000 0.254
8 S 0.772 0.500 0.755



Density functional theory data (GGA-PBE) for a relaxed structure of Li3HfNp2S6.

## Properties
magnetic moment = 0.746 μB/atom
formation energy without anion corrections = -1.40 eV per atom

a = 6.626 Å, b = 6.626 Å, c = 6.553 Å
α = 99.63°, β = 99.63°, γ = 120.10°
Element x y z (fractional)
1 Li 0.000 0.000 0.000
2 Li 0.340 0.660 0.000
3 Li 0.660 0.340 0.000
4 Hf 0.500 0.500 0.500
5 Np 0.168 0.832 0.500
6 Np 0.832 0.168 0.500
7 S 0.101 0.416 0.248
8 S 0.265 0.265 0.748
9 S 0.416 0.101 0.248
10 S 0.584 0.899 0.752
11 S 0.735 0.735 0.252
12 S 0.899 0.584 0.752



Density functional theory data (GGA-PBE) for a relaxed structure of Li2HfNpS4.

## Properties
magnetic moment = 0.567 μB/atom
formation energy without anion corrections = -1.42 eV per atom

a = 6.528 Å, b = 3.726 Å, c = 6.579 Å
α = 90.00°, β = 109.10°, γ = 90.00°
Element x y z (fractional)
1 Li 0.000 0.000 0.000
2 Li 0.500 0.500 0.000
3 Hf 0.000 0.500 0.500
4 Np 0.500 0.000 0.500
5 S 0.230 0.500 0.245
6 S 0.235 0.000 0.747
7 S 0.765 0.000 0.253
8 S 0.770 0.500 0.755



Density functional theory data (GGA-PBE) for a relaxed structure of Li2Hf2NpS6.

## Properties
magnetic moment = 0.427 μB/atom
formation energy without anion corrections = -1.47 eV per atom

a = 6.488 Å, b = 6.488 Å, c = 6.563 Å
α = 99.45°, β = 99.45°, γ = 120.57°
Element x y z (fractional)
1 Li 0.166 0.834 0.000
2 Li 0.834 0.166 0.000
3 Hf 0.335 0.665 0.500
4 Hf 0.665 0.335 0.500
5 Np 0.000 0.000 0.500
6 S 0.077 0.432 0.742
7 S 0.269 0.269 0.255
8 S 0.432 0.077 0.742
9 S 0.568 0.923 0.258
10 S 0.731 0.731 0.745
11 S 0.923 0.568 0.258



Density functional theory data (GGA-PBE) for a relaxed structure of LiHfNp2S5.

## Properties
magnetic moment = 0.939 μB/atom
formation energy without anion corrections = -1.40 eV per atom

a = 8.260 Å, b = 8.260 Å, c = 11.549 Å
α = 90.00°, β = 90.00°, γ = 153.56°
Element x y z (fractional)
1 Li 0.045 0.955 0.500
2 Li 0.955 0.045 0.000
3 Hf 0.296 0.704 0.054
4 Hf 0.704 0.296 0.554
5 Np 0.370 0.630 0.345
6 Np 0.396 0.604 0.723
7 Np 0.604 0.396 0.223
8 Np 0.630 0.370 0.845
9 S 0.005 0.995 0.815
10 S 0.136 0.864 0.040
11 S 0.190 0.810 0.400
12 S 0.220 0.780 0.707
13 S 0.443 0.557 0.108
14 S 0.557 0.443 0.608
15 S 0.780 0.220 0.207
16 S 0.810 0.190 0.900
17 S 0.864 0.136 0.540
18 S 0.995 0.005 0.315



Density functional theory data (GGA-PBE) for a relaxed structure of LiHfNpS4.

## Properties
magnetic moment = 0.569 μB/atom
formation energy without anion corrections = -1.46 eV per atom

a = 7.726 Å, b = 7.726 Å, c = 7.726 Å
α = 122.28°, β = 117.74°, γ = 90.03°
Element x y z (fractional)
1 Li 0.379 0.129 0.250
2 Li 0.621 0.871 0.750
3 Hf 0.000 0.000 0.500
4 Hf 0.000 0.500 0.000
5 Np 0.000 0.500 0.500
6 Np 0.500 0.500 0.000
7 S 0.222 0.249 0.973
8 S 0.224 0.751 0.473
9 S 0.234 0.237 0.503
10 S 0.234 0.731 0.997
11 S 0.766 0.269 0.003
12 S 0.766 0.763 0.497
13 S 0.776 0.249 0.527
14 S 0.778 0.751 0.027



Density functional theory data (GGA-PBE) for a relaxed structure of Li3Hf2NpSe6.

## Properties
magnetic moment = 0.410 μB/atom
formation energy without anion corrections = -1.23 eV per atom

a = 6.695 Å, b = 6.695 Å, c = 6.929 Å
α = 99.32°, β = 99.32°, γ = 119.98°
Element x y z (fractional)
1 Li 0.000 0.000 0.000
2 Li 0.337 0.663 0.000
3 Li 0.663 0.337 0.000
4 Hf 0.167 0.833 0.500
5 Hf 0.833 0.167 0.500
6 Np 0.500 0.500 0.500
7 Se 0.064 0.416 0.249
8 Se 0.233 0.233 0.753
9 Se 0.416 0.064 0.249
10 Se 0.584 0.936 0.751
11 Se 0.767 0.767 0.247
12 Se 0.936 0.584 0.751



Density functional theory data (GGA-PBE) for a relaxed structure of Li3HfNp3Se8.

## Properties
magnetic moment = 0.800 μB/atom
formation energy without anion corrections = -1.23 eV per atom

a = 7.996 Å, b = 7.996 Å, c = 7.996 Å
α = 60.79°, β = 60.79°, γ = 60.79°
Element x y z (fractional)
1 Li 0.000 0.500 0.500
2 Li 0.500 0.000 0.500
3 Li 0.500 0.500 0.000
4 Hf 0.500 0.500 0.500
5 Np 0.000 0.000 0.500
6 Np 0.000 0.500 0.000
7 Np 0.500 0.000 0.000
8 Se 0.253 0.253 0.253
9 Se 0.261 0.261 0.732
10 Se 0.261 0.732 0.261
11 Se 0.268 0.739 0.739
12 Se 0.732 0.261 0.261
13 Se 0.739 0.268 0.739
14 Se 0.739 0.739 0.268
15 Se 0.747 0.747 0.747



Density functional theory data (GGA-PBE) for a relaxed structure of LiHfNp2Se4.

## Properties
magnetic moment = 1.110 μB/atom
formation energy without anion corrections = -1.12 eV per atom

a = 6.779 Å, b = 3.973 Å, c = 6.977 Å
α = 90.00°, β = 109.46°, γ = 90.00°
Element x y z (fractional)
1 Li 0.000 0.000 0.000
2 Hf 0.000 0.500 0.500
3 Np 0.500 0.000 0.500
4 Np 0.500 0.500 0.000
5 Se 0.227 0.500 0.243
6 Se 0.229 0.000 0.745
7 Se 0.771 0.000 0.255
8 Se 0.773 0.500 0.757



Density functional theory data (GGA-PBE) for a relaxed structure of Li2HfNpSe4.

## Properties
magnetic moment = 0.578 μB/atom
formation energy without anion corrections = -1.22 eV per atom

a = 6.813 Å, b = 3.894 Å, c = 6.927 Å
α = 90.00°, β = 108.78°, γ = 90.00°
Element x y z (fractional)
1 Li 0.000 0.000 0.000
2 Li 0.500 0.500 0.000
3 Hf 0.000 0.500 0.500
4 Np 0.500 0.000 0.500
5 Se 0.230 0.500 0.243
6 Se 0.234 0.000 0.749
7 Se 0.766 0.000 0.251
8 Se 0.770 0.500 0.757



Density functional theory data (GGA-PBE) for a relaxed structure of Li2Hf2NpTe6.

## Properties
magnetic moment = 0.435 μB/atom
formation energy without anion corrections = -0.80 eV per atom

a = 7.178 Å, b = 7.178 Å, c = 7.488 Å
α = 98.99°, β = 98.99°, γ = 120.23°
Element x y z (fractional)
1 Li 0.160 0.840 0.000
2 Li 0.840 0.160 0.000
3 Hf 0.334 0.666 0.500
4 Hf 0.666 0.334 0.500
5 Np 0.000 0.000 0.500
6 Te 0.081 0.433 0.749
7 Te 0.272 0.272 0.250
8 Te 0.433 0.081 0.749
9 Te 0.567 0.919 0.251
10 Te 0.728 0.728 0.750
11 Te 0.919 0.567 0.251



Density functional theory data (GGA-PBE) for a relaxed structure of Li2HfNpTe4.

## Properties
magnetic moment = 0.585 μB/atom
formation energy without anion corrections = -0.80 eV per atom

a = 7.279 Å, b = 4.166 Å, c = 7.511 Å
α = 90.00°, β = 108.34°, γ = 90.00°
Element x y z (fractional)
1 Li 0.000 0.000 0.000
2 Li 0.500 0.500 0.000
3 Hf 0.000 0.500 0.500
4 Np 0.500 0.000 0.500
5 Te 0.231 0.500 0.242
6 Te 0.234 0.000 0.748
7 Te 0.766 0.000 0.252
8 Te 0.769 0.500 0.758



Density functional theory data (GGA-PBE) for a relaxed structure of Li2HfO3.

## Properties
magnetic moment = 0.000 μB/atom
formation energy without anion corrections = -2.82 eV per atom

a = 5.268 Å, b = 5.268 Å, c = 5.402 Å
α = 101.46°, β = 101.46°, γ = 117.90°
Element x y z (fractional)
1 Li 0.076 0.924 0.750
2 Li 0.242 0.758 0.250
3 Li 0.758 0.242 0.750
4 Li 0.924 0.076 0.250
5 Hf 0.409 0.591 0.750
6 Hf 0.591 0.409 0.250
7 O 0.000 0.500 0.500
8 O 0.198 0.348 0.985
9 O 0.348 0.198 0.485
10 O 0.500 0.000 0.000
11 O 0.652 0.802 0.515
12 O 0.802 0.652 0.015



Density functional theory data (GGA-PBE) for a relaxed structure of Li3HfO4.

## Properties
magnetic moment = 0.128 μB/atom
formation energy without anion corrections = -2.33 eV per atom

a = 5.982 Å, b = 8.517 Å, c = 3.127 Å
α = 90.00°, β = 90.00°, γ = 90.00°
Element x y z (fractional)
1 Li 0.000 0.000 0.000
2 Li 0.250 0.250 0.500
3 Li 0.250 0.750 0.500
4 Li 0.500 0.500 0.000
5 Li 0.750 0.250 0.500
6 Li 0.750 0.750 0.500
7 Hf 0.000 0.500 0.000
8 Hf 0.500 0.000 0.000
9 O 0.000 0.256 0.000
10 O 0.000 0.744 0.000
11 O 0.233 0.500 0.500
12 O 0.267 0.000 0.500
13 O 0.500 0.244 0.000
14 O 0.500 0.756 0.000
15 O 0.733 0.000 0.500
16 O 0.767 0.500 0.500



Density functional theory data (GGA-PBE) for a relaxed structure of Li5HfO4.

## Properties
magnetic moment = 0.088 μB/atom
E above lowest polymorph = 77 meV/atom
formation energy without anion corrections = -2.11 eV per atom

a = 6.036 Å, b = 8.710 Å, c = 5.137 Å
α = 90.00°, β = 90.00°, γ = 90.00°
Element x y z (fractional)
1 Li 0.011 0.093 0.169
2 Li 0.011 0.407 0.169
3 Li 0.250 0.250 0.608
4 Li 0.489 0.093 0.169
5 Li 0.489 0.407 0.169
6 Li 0.511 0.593 0.831
7 Li 0.511 0.907 0.831
8 Li 0.750 0.750 0.392
9 Li 0.989 0.593 0.831
10 Li 0.989 0.907 0.831
11 Hf 0.250 0.750 0.316
12 Hf 0.750 0.250 0.684
13 O 0.009 0.750 0.571
14 O 0.250 0.561 0.094
15 O 0.250 0.939 0.094
16 O 0.491 0.750 0.571
17 O 0.509 0.250 0.429
18 O 0.750 0.061 0.906
19 O 0.750 0.439 0.906
20 O 0.991 0.250 0.429



Density functional theory data (GGA-PBE) for a relaxed structure of Li2HfO3.

## Properties
magnetic moment = 0.000 μB/atom
formation energy without anion corrections = -2.79 eV per atom

a = 5.383 Å, b = 5.383 Å, c = 5.280 Å
α = 100.14°, β = 100.14°, γ = 119.62°
Element x y z (fractional)
1 Li 0.000 0.000 0.000
2 Li 0.155 0.845 0.500
3 Li 0.500 0.500 0.500
4 Li 0.845 0.155 0.500
5 Hf 0.332 0.668 0.000
6 Hf 0.668 0.332 0.000
7 O 0.079 0.432 0.231
8 O 0.275 0.275 0.762
9 O 0.432 0.079 0.231
10 O 0.568 0.921 0.769
11 O 0.725 0.725 0.238
12 O 0.921 0.568 0.769



Density functional theory data (GGA-PBE) for a relaxed structure of Li2Hf2O5.

## Properties
magnetic moment = 0.000 μB/atom
E above lowest polymorph = 16 meV/atom
formation energy without anion corrections = -2.97 eV per atom

a = 10.349 Å, b = 3.866 Å, c = 12.933 Å
α = 90.00°, β = 124.19°, γ = 90.00°
Element x y z (fractional)
1 Li 0.042 0.242 0.448
2 Li 0.042 0.258 0.948
3 Li 0.076 0.707 0.332
4 Li 0.076 0.793 0.832
5 Li 0.924 0.207 0.168
6 Li 0.924 0.293 0.668
7 Li 0.958 0.742 0.052
8 Li 0.958 0.758 0.552
9 Hf 0.330 0.689 0.141
10 Hf 0.330 0.811 0.641
11 Hf 0.333 0.141 0.363
12 Hf 0.333 0.359 0.863
13 Hf 0.667 0.641 0.137
14 Hf 0.667 0.859 0.637
15 Hf 0.670 0.189 0.359
16 Hf 0.670 0.311 0.859
17 O 0.114 0.750 0.008
18 O 0.114 0.750 0.508
19 O 0.129 0.204 0.338
20 O 0.129 0.296 0.838
21 O 0.294 0.665 0.288
22 O 0.294 0.835 0.788
23 O 0.385 0.181 0.209
24 O 0.385 0.319 0.709
25 O 0.415 0.649 0.031
26 O 0.415 0.851 0.531
27 O 0.585 0.149 0.469
28 O 0.585 0.351 0.969
29 O 0.615 0.681 0.291
30 O 0.615 0.819 0.791
31 O 0.706 0.165 0.212
32 O 0.706 0.335 0.712
33 O 0.871 0.704 0.162
34 O 0.871 0.796 0.662
35 O 0.886 0.250 0.492
36 O 0.886 0.250 0.992